5
Lattice="4.687 0.000 0.000 0.000 4.687 0.000 0.000 0.000 4.687" Properties=species:S:1:pos:R:3 comment="LiNbRh3 (PBEsol, optimized geometry)" e_above_lowest_polymorph_ev_per_fu=3.27 final_energy_ev_per_atom=-6.55 sg="Pm-3m, No. 221" m_tot_mub_per_atom=0.000 vol_a3_per_atom=20.59 pbc="T T T"
Li 0.000 0.000 0.000
Nb 2.343 2.343 2.343
Rh 0.000 2.343 2.343
Rh 2.343 0.000 2.343
Rh 2.343 2.343 0.000

=====

16
Lattice="6.077 0.000 0.000 0.000 6.077 0.000 0.000 0.000 6.077" Properties=species:S:1:pos:R:3 comment="LiNbRh2 (PBEsol, optimized geometry)" final_energy_ev_per_atom=-7.67 sg="Fm-3m, No. 225" m_tot_mub_per_atom=0.000 vol_a3_per_atom=14.02 pbc="T T T"
Li 0.000 0.000 0.000
Li 0.000 3.038 3.038
Li 3.038 0.000 3.038
Li 3.038 3.038 0.000
Nb 0.000 0.000 3.038
Nb 0.000 3.038 0.000
Nb 3.038 0.000 0.000
Nb 3.038 3.038 3.038
Rh 1.519 1.519 1.519
Rh 1.519 1.519 4.558
Rh 1.519 4.558 1.519
Rh 1.519 4.558 4.558
Rh 4.558 1.519 1.519
Rh 4.558 1.519 4.558
Rh 4.558 4.558 1.519
Rh 4.558 4.558 4.558

=====

5
Lattice="4.066 0.000 0.000 0.000 4.066 0.000 0.000 0.000 4.066" Properties=species:S:1:pos:R:3 comment="LiNbRh3 (PBEsol, optimized geometry)" e_above_lowest_polymorph_ev_per_fu=0.00 final_energy_ev_per_atom=-7.20 sg="Pm-3m, No. 221" m_tot_mub_per_atom=0.000 vol_a3_per_atom=13.44 pbc="T T T"
Li 0.000 0.000 0.000
Nb 2.033 2.033 2.033
Rh 0.000 0.000 2.033
Rh 0.000 2.033 0.000
Rh 2.033 0.000 0.000

=====

64
Lattice="9.931 0.000 0.000 0.000 12.263 0.000 0.000 0.000 11.241" Properties=species:S:1:pos:R:3 comment="Li3NbS4 (PBEsol, optimized geometry)" e_above_lowest_polymorph_ev_per_fu=0.75 final_energy_ev_per_atom=-5.37 sg="Pbca, No. 61" raw_formation_energy_ev_per_fu=-8.67 m_tot_mub_per_atom=0.000 vol_a3_per_atom=21.39 pbc="T T T"
Li 0.073 1.238 1.264
Li 0.073 4.893 6.884
Li 1.412 1.401 4.746
Li 1.412 4.730 10.366
Li 1.671 7.761 9.413
Li 1.671 10.633 3.793
Li 3.295 1.630 9.413
Li 3.295 4.502 3.793
Li 3.554 7.533 4.746
Li 3.554 10.862 10.366
Li 4.893 7.369 1.264
Li 4.893 11.025 6.884
Li 5.038 1.238 4.357
Li 5.038 4.893 9.977
Li 6.378 1.401 0.875
Li 6.378 4.730 6.495
Li 6.637 7.761 7.448
Li 6.637 10.633 1.828
Li 8.260 1.630 7.448
Li 8.260 4.502 1.828
Li 8.520 7.533 0.875
Li 8.520 10.862 6.495
Li 9.859 7.369 4.357
Li 9.859 11.025 9.977
Nb 1.637 7.563 1.258
Nb 1.637 10.831 6.878
Nb 3.328 1.432 1.258
Nb 3.328 4.699 6.878
Nb 6.603 7.563 4.362
Nb 6.603 10.831 9.983
Nb 8.294 1.432 4.362
Nb 8.294 4.699 9.983
S 0.200 0.015 7.882
S 0.200 6.117 2.262
S 0.398 8.948 11.206
S 0.398 9.447 5.586
S 1.914 0.297 11.083
S 1.914 5.835 5.463
S 2.109 2.640 2.739
S 2.109 3.492 8.359
S 2.857 8.771 2.739
S 2.857 9.623 8.359
S 3.052 6.428 11.083
S 3.052 11.966 5.463
S 4.567 2.816 11.206
S 4.567 3.315 5.586
S 4.765 6.146 7.882
S 4.765 12.248 2.262
S 5.166 0.015 8.979
S 5.166 6.117 3.359
S 5.364 8.948 5.655
S 5.364 9.447 0.034
S 6.879 0.297 5.778
S 6.879 5.835 0.157
S 7.075 2.640 2.881
S 7.075 3.492 8.502
S 7.822 8.771 2.881
S 7.822 9.623 8.502
S 8.018 6.428 5.778
S 8.018 11.966 0.157
S 9.533 2.816 5.655
S 9.533 3.315 0.034
S 9.731 6.146 8.979
S 9.731 12.248 3.359

=====

10
Lattice="4.769 0.000 0.000 0.000 4.769 0.000 0.000 0.000 7.873" Properties=species:S:1:pos:R:3 comment="LiNb2S2 (PBEsol, optimized geometry)" final_energy_ev_per_atom=-6.99 sg="I4/mmm, No. 139" raw_formation_energy_ev_per_fu=-2.57 m_tot_mub_per_atom=0.000 vol_a3_per_atom=17.90 pbc="T T T"
Li 0.000 0.000 0.000
Li 2.384 2.384 3.937
Nb 0.000 0.000 2.770
Nb 0.000 0.000 5.103
Nb 2.384 2.384 1.167
Nb 2.384 2.384 6.707
S 0.000 2.384 1.968
S 0.000 2.384 5.905
S 2.384 0.000 1.968
S 2.384 0.000 5.905

=====

64
Lattice="0.000 13.058 3.659 12.754 0.000 3.659 12.754 13.058 0.000" Properties=species:S:1:pos:R:3 comment="Li3NbS4 (PBEsol, optimized geometry)" e_above_lowest_polymorph_ev_per_fu=0.64 final_energy_ev_per_atom=-5.38 sg="Fdd2, No. 43" raw_formation_energy_ev_per_fu=-8.78 m_tot_mub_per_atom=0.000 vol_a3_per_atom=19.04 pbc="T T T"
Li 0.000 0.000 0.000
Li 12.014 9.819 2.013
Li 15.948 7.335 3.874
Li 12.595 6.661 3.419
Li 6.377 6.529 1.829
Li 16.838 15.691 2.924
Li 13.495 16.298 2.013
Li 19.872 16.348 3.843
Li 23.215 16.955 4.754
Li 16.663 10.732 4.747
Li 8.671 10.426 2.924
Li 19.291 13.190 5.248
Li 12.754 13.058 3.647
Li 5.637 9.769 3.843
Li 15.938 13.864 5.703
Li 12.914 19.456 3.419
Li 19.131 19.588 5.476
Li 23.040 21.914 6.576
Li 9.571 12.252 5.703
Li 9.561 18.782 3.874
Li 8.845 15.385 4.747
Li 15.048 22.220 4.754
Li 15.222 17.261 6.576
Li 6.218 12.927 5.248
Nb 19.392 9.531 3.250
Nb 15.820 12.896 1.440
Nb 9.689 13.221 1.440
Nb 9.443 6.691 3.270
Nb 16.066 19.425 3.270
Nb 13.015 10.057 5.079
Nb 12.494 16.060 5.079
Nb 6.117 16.586 3.250
S 17.689 5.431 3.608
S 17.299 9.020 2.509
S 6.235 2.387 1.553
S 2.532 1.949 0.748
S 10.856 7.497 1.671
S 12.612 4.142 3.382
S 10.223 11.109 0.748
S 13.925 11.685 1.762
S 8.909 4.580 2.577
S 21.030 14.027 3.500
S 13.924 8.747 3.455
S 17.058 12.922 3.349
S 11.584 14.432 1.762
S 6.519 10.671 1.553
S 1.899 5.561 1.671
S 17.961 18.214 3.591
S 7.548 7.903 3.591
S 3.845 8.479 2.577
S 23.435 19.724 5.178
S 10.922 10.567 4.338
S 17.961 15.277 5.284
S 14.587 15.550 4.338
S 8.451 13.195 3.349
S 14.197 11.960 5.438
S 8.210 17.097 2.509
S 11.584 17.370 3.455
S 4.479 12.090 3.500
S 12.896 21.975 3.382
S 20.301 23.899 5.284
S 11.312 14.156 5.438
S 14.828 19.451 5.178
S 7.820 20.686 3.608

=====

5
Lattice="4.550 0.000 0.000 0.000 4.550 0.000 0.000 0.000 4.550" Properties=species:S:1:pos:R:3 comment="Li3NbS (PBEsol, optimized geometry)" final_energy_ev_per_atom=-3.92 sg="Pm-3m, No. 221" raw_formation_energy_ev_per_fu=1.50 m_tot_mub_per_atom=0.877 vol_a3_per_atom=18.84 pbc="T T T"
Li 0.000 0.000 2.275
Li 0.000 2.275 0.000
Li 2.275 0.000 0.000
Nb 2.275 2.275 2.275
S 0.000 0.000 0.000

=====

32
Lattice="-5.098 5.098 5.098 5.098 -5.098 5.098 5.098 5.098 -5.098" Properties=species:S:1:pos:R:3 comment="Li3NbS4 (PBEsol, optimized geometry)" e_above_lowest_polymorph_ev_per_fu=0.00 final_energy_ev_per_atom=-5.46 sg="I-43m, No. 217" raw_formation_energy_ev_per_fu=-9.42 m_tot_mub_per_atom=0.000 vol_a3_per_atom=16.56 pbc="T T T"
Li 3.769 1.341 -1.341
Li 3.769 -1.341 1.341
Li 1.341 3.769 -1.341
Li 1.341 -1.341 3.769
Li 6.427 1.341 1.341
Li 3.757 3.757 1.329
Li 3.757 1.329 3.757
Li -1.341 3.769 1.341
Li -1.341 1.341 3.769
Li 1.329 3.757 3.757
Li 1.341 6.427 1.341
Li 1.341 1.341 6.427
Nb 3.659 3.659 -3.659
Nb 3.659 -3.659 3.659
Nb 1.439 1.439 1.439
Nb -3.659 3.659 3.659
S 1.166 1.166 -1.166
S 1.166 -1.166 1.166
S 6.453 1.223 -1.223
S 6.453 -1.223 1.223
S -1.166 1.166 1.166
S 3.742 1.223 1.223
S 3.875 3.875 -1.355
S 3.875 -1.355 3.875
S 1.223 3.742 1.223
S 1.223 1.223 3.742
S 1.223 6.453 -1.223
S 1.223 -1.223 6.453
S -1.223 6.453 1.223
S -1.223 1.223 6.453
S -1.355 3.875 3.875
S 3.932 3.932 3.932

=====

8
Lattice="6.011 0.000 0.000 0.000 6.011 0.000 0.000 0.000 6.011" Properties=species:S:1:pos:R:3 comment="Li3NbS4 (PBEsol, optimized geometry)" e_above_lowest_polymorph_ev_per_fu=0.64 final_energy_ev_per_atom=-5.38 sg="P-43m, No. 215" raw_formation_energy_ev_per_fu=-8.78 m_tot_mub_per_atom=0.000 vol_a3_per_atom=27.15 pbc="T T T"
Li 0.000 0.000 3.006
Li 0.000 3.006 0.000
Li 3.006 0.000 0.000
Nb 0.000 0.000 0.000
S 1.313 1.313 1.313
S 1.313 4.698 4.698
S 4.698 1.313 4.698
S 4.698 4.698 1.313

=====

16
Lattice="5.012 -3.722 0.000 5.012 3.722 0.000 0.000 0.000 6.966" Properties=species:S:1:pos:R:3 comment="Li3NbS4 (PBEsol, optimized geometry)" e_above_lowest_polymorph_ev_per_fu=0.37 final_energy_ev_per_atom=-5.41 sg="Cmcm, No. 63" raw_formation_energy_ev_per_fu=-9.06 m_tot_mub_per_atom=0.000 vol_a3_per_atom=16.24 pbc="T T T"
Li 2.506 1.861 0.000
Li 2.506 1.861 3.483
Li 5.012 3.664 5.224
Li 2.506 -1.861 0.000
Li 2.506 -1.861 3.483
Li 5.012 -3.664 1.741
Nb 5.012 0.200 5.224
Nb 5.012 -0.200 1.741
S 2.613 0.026 1.741
S 5.012 1.777 0.051
S 5.012 1.777 3.432
S 2.613 -0.026 5.224
S 7.411 0.026 1.741
S 5.012 -1.777 3.533
S 5.012 -1.777 6.915
S 7.411 -0.026 5.224

=====

51
Lattice="5.766 0.000 0.000 -2.882 11.664 0.000 -0.007 -3.329 12.805" Properties=species:S:1:pos:R:3 comment="Li9Nb14S28 (PBEsol, optimized geometry)" final_energy_ev_per_atom=-7.06 sg="P-1, No. 2" raw_formation_energy_ev_per_fu=-67.95 m_tot_mub_per_atom=0.000 vol_a3_per_atom=16.89 pbc="T T T"
Li 0.000 0.000 0.000
Li -0.006 -0.005 6.400
Li -0.003 3.328 6.404
Li -0.012 3.324 12.802
Li -0.012 6.603 12.804
Li 2.889 1.732 0.001
Li 2.889 5.010 0.003
Li 2.880 5.006 6.401
Li 2.883 8.340 6.405
Nb -0.001 0.004 3.199
Nb 0.006 0.002 9.605
Nb 0.004 3.334 3.201
Nb -0.006 3.336 9.598
Nb 0.007 6.671 3.213
Nb -0.010 6.669 9.596
Nb 0.008 9.993 3.210
Nb 2.869 -1.659 9.595
Nb 2.887 1.666 3.209
Nb 2.870 1.663 9.593
Nb 2.883 4.999 3.207
Nb 2.873 5.001 9.604
Nb 2.871 8.332 3.200
Nb 2.878 8.331 9.606
S -1.913 6.670 4.765
S -0.964 1.661 11.159
S -1.925 9.988 1.641
S -0.965 5.012 8.037
S -1.914 10.000 4.759
S -0.980 4.996 11.160
S 0.960 1.678 1.638
S -0.959 8.336 8.047
S 0.972 1.665 4.764
S -0.963 8.335 11.176
S 0.957 4.993 1.644
S 1.925 0.000 8.038
S 0.956 5.009 4.770
S 1.908 0.009 11.167
S 0.970 8.326 1.638
S 1.921 3.326 8.035
S 0.952 8.335 4.767
S 1.920 3.342 11.161
S 3.840 0.000 1.630
S 1.905 6.670 8.041
S 3.837 -0.001 4.758
S 1.917 6.657 11.167
S 3.857 3.338 1.645
S 4.791 -1.665 8.046
S 3.842 3.323 4.768
S 4.802 -1.653 11.164
S 3.841 6.674 1.646
S 4.790 1.665 8.040

=====

5
Lattice="4.422 0.000 0.000 0.000 4.422 0.000 0.000 0.000 4.422" Properties=species:S:1:pos:R:3 comment="Li3ScNb (PBEsol, optimized geometry)" final_energy_ev_per_atom=-3.30 sg="Pm-3m, No. 221" m_tot_mub_per_atom=0.001 vol_a3_per_atom=17.29 pbc="T T T"
Li 0.000 0.000 2.211
Li 0.000 2.211 0.000
Li 2.211 0.000 0.000
Sc 0.000 0.000 0.000
Nb 2.211 2.211 2.211